{
  "formula": "Nd4MgAg2",
  "functional": "PBE",
  "state": "relaxed",
  "cell": [[5.076, 0.000, 1.586], [2.290, 4.530, 1.586], [-0.011, -0.007, 8.952]],
  "species": ["Nd", "Nd", "Nd", "Nd", "Mg", "Ag", "Ag"],
  "frac_coords": [[0.386, 0.386, 0.841], [0.867, 0.867, 0.399], [0.614, 0.614, 0.159], [0.133, 0.133, 0.601], [0.000, 0.000, 0.000], [0.740, 0.740, 0.780], [0.260, 0.260, 0.220]],
  "delta_e_f_ev_per_atom": -0.06,
  "de_polymorph_mev_per_atom": 0,
  "crystal_system": "trigonal",
  "final_energy_ev_per_cell": -26.79,
  "vol_a3_per_fu": 205.9
}

{
  "formula": "U3SbH",
  "functional": "PBE",
  "state": "relaxed",
  "cell": [[-2.044, 2.345, -2.617], [-3.640, -2.705, 3.457], [0.423, 6.842, 5.799]],
  "species": ["U", "U", "U", "U", "U", "U", "Sb", "Sb", "H", "H"],
  "frac_coords": [[0.326, 0.756, 0.023], [0.326, 0.756, 0.477], [0.674, 0.244, 0.523], [0.674, 0.244, 0.977], [0.350, 0.596, 0.750], [0.650, 0.404, 0.250], [0.938, 0.983, 0.250], [0.062, 0.017, 0.750], [0.223, 0.566, 0.250], [0.777, 0.434, 0.750]],
  "de_polymorph_mev_per_atom": 74,
  "crystal_system": "monoclinic",
  "final_energy_ev_per_cell": -82.79,
  "vol_a3_per_fu": 97.7
}

{
  "formula": "Ac2Al3TlZn4",
  "functional": "PBE",
  "state": "relaxed",
  "cell": [[4.507, 0.000, 0.000], [0.000, 4.507, 0.000], [0.000, 0.000, 11.033]],
  "species": ["Zn", "Zn", "Zn", "Zn", "Al", "Al", "Al", "Ac", "Ac", "Tl"],
  "frac_coords": [[0.000, 0.500, 0.352], [0.500, 0.500, 0.000], [0.500, 0.000, 0.648], [0.000, 0.000, 0.000], [0.000, 0.500, 0.122], [0.000, 0.000, 0.500], [0.500, 0.000, 0.878], [0.000, 0.500, 0.763], [0.500, 0.000, 0.237], [0.500, 0.500, 0.500]],
  "delta_e_f_ev_per_atom": -0.33,
  "crystal_system": "tetragonal",
  "final_energy_ev_per_cell": -30.22,
  "vol_a3_per_fu": 224.1
}

{
  "formula": "Ce8InHg2",
  "functional": "PBE",
  "state": "relaxed",
  "cell": [[5.547, 0.900, 0.000], [1.537, 8.326, 0.000], [0.768, 4.163, 7.141]],
  "species": ["Ce", "Ce", "Ce", "Ce", "Ce", "Ce", "Ce", "Ce", "Hg", "Hg", "In"],
  "frac_coords": [[0.500, 0.769, 0.462], [0.500, 0.231, 0.538], [0.340, 0.407, 0.000], [0.660, 0.593, 0.000], [0.916, 0.274, 0.807], [0.084, 0.726, 0.193], [0.084, 0.919, 0.807], [0.916, 0.081, 0.193], [0.000, 0.690, 0.621], [0.000, 0.310, 0.379], [0.500, 0.000, 0.000]],
  "delta_e_f_ev_per_atom": -0.08,
  "crystal_system": "monoclinic",
  "final_energy_ev_per_cell": -51.71,
  "vol_a3_per_fu": 319.9
}